NiRh3 | SCAN | PBEsol geometry

POSCAR file:
```
NiRh3
1.0
2.657 0.000 0.000
0.000 2.657 0.000
0.000 0.000 7.230
Rh Ni
3 1
Cartesian
1.329 1.329 1.734
0.000 0.000 3.615
1.329 1.329 5.497
0.000 0.000 0.000
```

Formation energy in eV per formula unit: 0.15
Space-group type: P4/mmm (123)
Crystal system: tetragonal